A plane-wave DFT calculation with GGA-PBE was carried out for a geometry-optimized PrScCd6 structure.

Unit cell a=4.8335 b=6.4326 c=6.4326 alpha=67.72 beta=90.00 gamma=90.00
Last column: nearest neighbours and their distance in Å.
Sites, in units of the cell vectors:
Cd 0.5000 0.6202 0.1838  6 Cd 2.98-3.17, 2 Sc 3.18, 2 Pr 3.18-3.28
Cd 0.0000 0.3294 0.3294  8 Cd 2.98-3.26, 2 Pr 3.21
Cd 0.0000 0.8051 0.3831  7 Cd 3.00-3.26, 2 Pr 3.21, 2 Sc 3.21-3.26
Cd 0.5000 0.1838 0.6202  6 Cd 2.98-3.17, 2 Sc 3.18, 2 Pr 3.18-3.28
Cd 0.5000 0.6826 0.6826  6 Cd 3.00-3.09, 2 Sc 3.10
Cd 0.0000 0.3831 0.8051  7 Cd 3.00-3.26, 2 Pr 3.21, 2 Sc 3.21-3.26
Pr 0.5000 0.1316 0.1316  10 Cd 3.18-3.28
Sc 0.0000 0.8641 0.8641  10 Cd 3.10-3.26

Computed properties:
ΔE_f: -247 meV per atom
SG: Amm2 (38)
raw total energy: -2.306 eV per atom